(i)
# SiPCl2F

An optimized crystal structure of SiPCl2F (PBE, Alexandria via LeMat-Bulk).

a b c (Å): 5.3277 5.3277 3.6122
angles (deg): 90.00 90.00 90.00
Space group P4/mmm (No. 123)
Inequivalent atoms, fractional coordinates:
Si1 0.0000 0.0000 0.0000 x1
P1 0.5000 0.5000 0.0000 x1
Cl1 0.0000 0.5000 0.5000 x2
F1 0.5000 0.5000 0.5000 x1

(ii)
# SiPCl2F

An optimized crystal structure of SiPCl2F (PBE, Alexandria via LeMat-Bulk).

a b c (Å): 4.5458 4.5458 4.8183
angles (deg): 90.00 90.00 90.00
Space group P4/mmm (No. 123)
Inequivalent atoms, fractional coordinates:
Si1 0.0000 0.0000 0.0000 x1
P1 0.0000 0.0000 0.5000 x1
Cl1 0.0000 0.5000 0.0000 x2
F1 0.5000 0.5000 0.5000 x1

Which one is most stable, and which one is least stable? (ii) is the most stable of them, while (i) is the least stable.

(i)
# TiP2ClF

An optimized crystal structure of TiP2ClF (PBE, Alexandria via LeMat-Bulk).

a b c (Å): 4.0540 4.0540 5.0251
angles (deg): 90.00 90.00 90.00
Space group P4/mmm (No. 123)
Inequivalent atoms, fractional coordinates:
Ti1 0.0000 0.0000 0.0000 x1
P1 0.0000 0.5000 0.5000 x2
Cl1 0.5000 0.5000 0.0000 x1
F1 0.5000 0.5000 0.5000 x1

(ii)
# TiP2ClF

An optimized crystal structure of TiP2ClF (PBE, Alexandria via LeMat-Bulk).

a b c (Å): 4.7233 4.7233 4.6463
angles (deg): 90.00 90.00 90.00
Space group P4/mmm (No. 123)
Inequivalent atoms, fractional coordinates:
Ti1 0.0000 0.0000 0.0000 x1
P1 0.0000 0.5000 0.0000 x2
Cl1 0.0000 0.0000 0.5000 x1
F1 0.5000 0.5000 0.5000 x1

Which one is most stable, and which one is least stable? (ii) is the most stable of them, while (i) is the least stable.

(i)
# TlP2ClF

An optimized crystal structure of TlP2ClF (PBE, Alexandria via LeMat-Bulk).

a b c (Å): 4.2789 4.2789 6.2881
angles (deg): 90.00 90.00 90.00
Space group P4/mmm (No. 123)
Inequivalent atoms, fractional coordinates:
Tl1 0.0000 0.0000 0.0000 x1
P1 0.0000 0.5000 0.5000 x2
Cl1 0.5000 0.5000 0.0000 x1
F1 0.5000 0.5000 0.5000 x1

(ii)
# TlP2ClF

An optimized crystal structure of TlP2ClF (PBE, Alexandria via LeMat-Bulk).

a b c (Å): 4.5511 4.5511 5.6401
angles (deg): 90.00 90.00 90.00
Space group P4/mmm (No. 123)
Inequivalent atoms, fractional coordinates:
Tl1 0.0000 0.0000 0.0000 x1
P1 0.0000 0.5000 0.5000 x2
Cl1 0.5000 0.5000 0.5000 x1
F1 0.5000 0.5000 0.0000 x1

(iii)
# TlP2ClF

An optimized crystal structure of TlP2ClF (PBE, Alexandria via LeMat-Bulk).

a b c (Å): 5.3451 5.3451 5.2371
angles (deg): 90.00 90.00 90.00
Space group P4/mmm (No. 123)
Inequivalent atoms, fractional coordinates:
Tl1 0.0000 0.0000 0.0000 x1
P1 0.0000 0.5000 0.0000 x2
Cl1 0.0000 0.0000 0.5000 x1
F1 0.5000 0.5000 0.5000 x1

Which one is most stable, and which one is least stable? (i) is the most stable of them, while (iii) is the least stable.